The following is a DFT calculation (GGA+U) of an optimized crystal structure of CoAuNO2.

DFT total energy (eV for the cell shown): -20.812
Fermi-level density of states (states/eV/cell): 1.7

```
data_CoAuNO2
_chemical_formula_sum 'Co1 Au1 N1 O2'
_symmetry_space_group_name_H-M 'P 4/m m m'
_symmetry_Int_Tables_number 123
_symmetry_space_group_name_Hall '-P 4 2'
_cell_length_a 4.258
_cell_length_b 4.258
_cell_length_c 3.746
_cell_angle_alpha 90.00
_cell_angle_beta 90.00
_cell_angle_gamma 90.00
loop_
_atom_site_label
_atom_site_fract_x
_atom_site_fract_y
_atom_site_fract_z
Co1 0.000 0.000 0.000
Au1 0.500 0.500 0.500
N1 0.500 0.500 0.000
O1 0.000 0.500 0.500
```